{"formula": "NdYMgIn", "functional": "PBE", "state": "optimized geometry", "lattice": [[7.6284, 0.0000, 0.0000], [0.0000, 7.6284, 0.0000], [0.0000, 0.0000, 7.6284]], "species": ["Nd", "Nd", "Nd", "Nd", "Y", "Y", "Y", "Y", "Mg", "Mg", "Mg", "Mg", "In", "In", "In", "In"], "frac_coords": [[0.0000, 0.0000, 0.0000], [0.0000, 0.5000, 0.5000], [0.5000, 0.0000, 0.5000], [0.5000, 0.5000, 0.0000], [0.0000, 0.0000, 0.5000], [0.0000, 0.5000, 0.0000], [0.5000, 0.0000, 0.0000], [0.5000, 0.5000, 0.5000], [0.2500, 0.2500, 0.7500], [0.2500, 0.7500, 0.2500], [0.7500, 0.2500, 0.2500], [0.7500, 0.7500, 0.7500], [0.2500, 0.2500, 0.2500], [0.2500, 0.7500, 0.7500], [0.7500, 0.2500, 0.7500], [0.7500, 0.7500, 0.2500]], "total_energy_ev_per_atom": -4.224, "crystal_system": "cubic"}

{"formula": "PmTm4Ag5", "functional": "PBE", "state": "optimized geometry", "lattice": [[3.5890, 0.0000, 0.0000], [0.0000, 3.5890, 0.0000], [0.0000, 0.0000, 18.1478]], "species": ["Pm", "Tm", "Tm", "Tm", "Tm", "Ag", "Ag", "Ag", "Ag", "Ag"], "frac_coords": [[0.0000, 0.0000, 0.0000], [0.0000, 0.0000, 0.2054], [0.0000, 0.0000, 0.4017], [0.0000, 0.0000, 0.5983], [0.0000, 0.0000, 0.7946], [0.5000, 0.5000, 0.1108], [0.5000, 0.5000, 0.3032], [0.5000, 0.5000, 0.5000], [0.5000, 0.5000, 0.6968], [0.5000, 0.5000, 0.8892]], "ef_ev_per_atom": -0.34, "crystal_system": "tetragonal"}

{"formula": "TmSnBi", "functional": "PBE", "state": "optimized geometry", "lattice": [[7.3583, 0.0000, 0.0000], [0.0000, 7.3583, 0.0000], [0.0000, 0.0000, 7.3583]], "species": ["Tm", "Tm", "Tm", "Tm", "Sn", "Sn", "Sn", "Sn", "Bi", "Bi", "Bi", "Bi"], "frac_coords": [[0.0000, 0.0000, 0.0000], [0.0000, 0.5000, 0.5000], [0.5000, 0.0000, 0.5000], [0.5000, 0.5000, 0.0000], [0.2500, 0.2500, 0.7500], [0.2500, 0.7500, 0.2500], [0.7500, 0.2500, 0.2500], [0.7500, 0.7500, 0.7500], [0.0000, 0.0000, 0.5000], [0.0000, 0.5000, 0.0000], [0.5000, 0.0000, 0.0000], [0.5000, 0.5000, 0.5000]], "e_above_lowest_polymorph_mev_per_atom": 118, "crystal_system": "cubic"}

{"formula": "HoLuSi2Os", "functional": "PBE", "state": "optimized geometry", "lattice": [[5.2804, -2.1004, 0.0000], [5.2804, 2.1004, 0.0000], [-4.7473, 0.0000, 8.6417]], "species": ["Ho", "Ho", "Lu", "Lu", "Si", "Si", "Si", "Si", "Os", "Os"], "frac_coords": [[0.0095, 0.0095, 0.1805], [0.9905, 0.9905, 0.8195], [0.1833, 0.1833, 0.6106], [0.8167, 0.8167, 0.3894], [0.3571, 0.3571, 0.9392], [0.4949, 0.4949, 0.6228], [0.5051, 0.5051, 0.3772], [0.6429, 0.6429, 0.0608], [0.2698, 0.2698, 0.1290], [0.7302, 0.7302, 0.8710]], "e_above_lowest_polymorph_mev_per_atom": 17, "crystal_system": "monoclinic"}

{"formula": "Pr2Er2SiI5", "functional": "PBE", "state": "optimized geometry", "lattice": [[9.6531, -2.1103, 0.0000], [9.6531, 2.1103, 0.0000], [-1.9544, 0.0000, 8.6154]], "species": ["Pr", "Pr", "Er", "Er", "Si", "I", "I", "I", "I", "I"], "frac_coords": [[0.1499, 0.1499, 0.0756], [0.8501, 0.8501, 0.9244], [0.5002, 0.5002, 0.2071], [0.4998, 0.4998, 0.7929], [0.0000, 0.0000, 0.0000], [0.0000, 0.0000, 0.5000], [0.3341, 0.3341, 0.1914], [0.3387, 0.3387, 0.6500], [0.6613, 0.6613, 0.3500], [0.6659, 0.6659, 0.8086]], "e_above_lowest_polymorph_mev_per_atom": 11, "crystal_system": "monoclinic"}

{"formula": "DyInNi", "functional": "PBE", "state": "optimized geometry", "lattice": [[7.3458, 0.0000, 0.0000], [-3.6729, 6.3616, 0.0000], [0.0000, 0.0000, 3.8950]], "species": ["Dy", "Dy", "Dy", "In", "In", "In", "Ni", "Ni", "Ni"], "frac_coords": [[0.0000, 0.5884, 0.0000], [0.4116, 0.4116, 0.0000], [0.5884, 0.0000, 0.0000], [0.0000, 0.2516, 0.5000], [0.2516, 0.0000, 0.5000], [0.7484, 0.7484, 0.5000], [0.0000, 0.0000, 0.0000], [0.3333, 0.6667, 0.5000], [0.6667, 0.3333, 0.5000]], "total_energy_ev_per_atom": -4.814, "crystal_system": "hexagonal"}